This record from Alexandria via LeMat-Bulk describes an optimized crystal structure of MoRhPb. The functional is PBE.

Summary:
SG = P3m1, No. 156
E = -20.71 eV for the cell shown
energy of formation from the pure elements = 0.395 eV/atom
magnetization = 0.00 Bohr magnetons per cell

Unit cell a=3.0367 b=3.0367 c=6.9850 alpha=90.00 beta=90.00 gamma=120.00
Closest atoms and distances in Å follow each position.
Sites, in units of the cell vectors:
Mo 0.0000 0.0000 0.0000  3 Rh 2.63
Rh 0.3333 0.6667 0.7198  3 Mo 2.63
Pb 0.6667 0.3333 0.3652  3 Rh 3.04, 6 Pb 3.04, 3 Mo 3.10